Material: Na3GaW
Method: DFT, PBE
State: relaxed

The structure belongs to space group Pm-3m (No. 221); the cell edges are 5.454, 5.454 and 5.454 Å and the angles 90.00°, 90.00° and 90.00°. The asymmetric unit holds Na at (0.000, 0.000, 0.500), Ga at (0.000, 0.000, 0.000) and W at (0.500, 0.500, 0.500).

The density of states at the Fermi level is 0.8616 states/eV/atom. The calculation puts the formation energy from the elements at 1.48 eV per atom. The value obtained for the energy above the most stable polymorph in this dataset is 0.0 meV per atom.